# Sr3PmTl4 PBE-GGA optimized geometry
# **Energy of formation from the pure elements**: -3.27 eV/f.u.
# **Crystal system**: tetragonal
data_Sr3PmTl4
_chemical_formula_sum 'Sr3 Pm1 Tl4'
_symmetry_space_group_name_H-M 'P 4/m m m'
_symmetry_Int_Tables_number 123
_symmetry_space_group_name_Hall '-P 4 2'
_cell_length_a 4.021
_cell_length_b 4.021
_cell_length_c 16.334
_cell_angle_alpha 90.00
_cell_angle_beta 90.00
_cell_angle_gamma 90.00
loop_
_atom_site_label
_atom_site_type_symbol
_atom_site_fract_x
_atom_site_fract_y
_atom_site_fract_z
_atom_site_occupancy
Sr1 Sr 0.000 0.000 0.000 1
Sr2 Sr 0.000 0.000 0.255 1
Pm1 Pm 0.000 0.000 0.500 1
Tl1 Tl 0.500 0.500 0.127 1
Tl2 Tl 0.500 0.500 0.387 1

=====

# RbGa2H8 PBE-GGA optimized geometry
# **Crystal system**: monoclinic
data_RbGa2H8
_chemical_formula_sum 'Rb2 Ga4 H16'
_symmetry_space_group_name_H-M 'C 1 2/m 1'
_symmetry_Int_Tables_number 12
_cell_length_a 8.137
_cell_length_b 6.294
_cell_length_c 5.470
_cell_angle_alpha 90.00
_cell_angle_beta 90.06
_cell_angle_gamma 90.00
loop_
_symmetry_equiv_pos_as_xyz
'x,y,z'
'-x,-y,-z'
'-x,y,-z'
'x,-y,z'
'x+1/2,y+1/2,z'
'-x+1/2,-y+1/2,-z'
'-x+1/2,y+1/2,-z'
'x+1/2,-y+1/2,z'
loop_
_atom_site_label
_atom_site_type_symbol
_atom_site_fract_x
_atom_site_fract_y
_atom_site_fract_z
_atom_site_occupancy
Rb1 Rb 0.000 0.000 0.000 1
Ga1 Ga 0.241 0.500 0.500 1
H1 H 0.091 0.166 0.500 1
H2 H 0.155 0.500 0.243 1
H3 H 0.157 0.500 0.759 1

=====

# LiFe2Hg PBE-GGA optimized geometry
# **Energy of formation from the pure elements**: 1.74 eV/f.u.
# **Crystal system**: tetragonal
data_LiFe2Hg
_chemical_formula_sum 'Li4 Fe8 Hg4'
_symmetry_space_group_name_H-M 'I -4 2 d'
_symmetry_Int_Tables_number 122
_symmetry_space_group_name_Hall 'I -4 2bw'
_cell_length_a 3.563
_cell_length_b 3.563
_cell_length_c 19.435
_cell_angle_alpha 90.00
_cell_angle_beta 90.00
_cell_angle_gamma 90.00
loop_
_atom_site_label
_atom_site_type_symbol
_atom_site_fract_x
_atom_site_fract_y
_atom_site_fract_z
_atom_site_occupancy
Li1 Li 0.000 0.000 0.000 1
Fe1 Fe 0.245 0.250 0.625 1
Hg1 Hg 0.000 0.000 0.500 1

=====

# CaGeBPb2 PBE-GGA optimized geometry
# **Energy of formation from the pure elements**: 7.64 eV/f.u.
# **Crystal system**: tetragonal
data_CaGeBPb2
_chemical_formula_sum 'Ca1 Ge1 B1 Pb2'
_symmetry_space_group_name_H-M 'P 4/m m m'
_symmetry_Int_Tables_number 123
_symmetry_space_group_name_Hall '-P 4 2'
_cell_length_a 10.056
_cell_length_b 10.056
_cell_length_c 3.730
_cell_angle_alpha 90.00
_cell_angle_beta 90.00
_cell_angle_gamma 90.00
loop_
_atom_site_label
_atom_site_type_symbol
_atom_site_fract_x
_atom_site_fract_y
_atom_site_fract_z
_atom_site_occupancy
Ca1 Ca 0.000 0.000 0.000 1
Ge1 Ge 0.500 0.500 0.500 1
B1 B 0.500 0.500 0.000 1
Pb1 Pb 0.000 0.500 0.500 1

=====

Number 1: Fermi-level density of states 6.52 states/eV/cell, total energy -0.2070 Ry/atom. Number 2: Fermi-level density of states 1.77 states/eV/cell, total energy -0.2164 Ry/atom. Number 3: Fermi-level density of states 12.23 states/eV/cell, total energy -0.3197 Ry/atom. Number 4: Fermi-level density of states 9.58 states/eV/cell, total energy -0.1922 Ry/atom.